CuNiMo2: relaxed, PBE.

a = 4.688 Å, b = 4.688 Å, c = 4.688 Å
α = 132.46°, β = 132.46°, γ = 69.50°
Atoms (fractional coordinates):
Cu (0.000, 0.000, 0.000)
Ni (0.750, 0.250, 0.500)
Mo (0.250, 0.750, 0.500)
Mo (0.500, 0.500, 0.000)

Results
The crystal system is tetragonal. As for the spin magnetization: 0.000 μB per atom. The electronic total energy comes out at -7.671 eV per atom. As for the space group: No. 119. The value obtained for the formation energy is 0.86 eV per formula unit.